Compound: Tb5Sc4Cd
Source: Alexandria via LeMat-Bulk
Functional: PBE
Structure: relaxed

The structure belongs to space group P4/mmm (No. 123); the cell edges are 3.510, 3.510 and 22.570 Å and the angles 90.00°, 90.00° and 90.00°. The inequivalent atoms are Tb at (0.000, 0.000, 0.000), Tb at (0.000, 0.000, 0.202), Tb at (0.000, 0.000, 0.405), Sc at (0.500, 0.500, 0.101), Sc at (0.500, 0.500, 0.303) and Cd at (0.500, 0.500, 0.500).

The magnetic moment comes out at 0.00 μB per atom. The formation energy is -0.019 eV/atom.